## CsBaWO4 (GGA+U)

Data for a relaxed CsBaWO4 crystal.

Cell lengths 6.943, 6.515, 8.060 Å; angles 90.00, 104.80, 90.00 degrees
Last column: magnetic moment on the atom in μB.
Fractional coordinates of all 14 atoms:
W  0.287  0.750  0.347  0.88
W  0.713  0.250  0.653  0.88
O  0.444  0.750  0.569  -0.02
O  0.915  0.463  0.679  0.05
O  0.556  0.250  0.431  -0.02
O  0.085  0.537  0.321  0.05
O  0.431  0.750  0.182  -0.02
O  0.915  0.037  0.679  0.05
O  0.085  0.963  0.321  0.05
O  0.569  0.250  0.818  -0.02
Cs  0.280  0.250  0.073  0.00
Cs  0.720  0.750  0.927  0.00
Ba  0.190  0.250  0.558  0.01
Ba  0.810  0.750  0.442  0.01

Output
Total energy ... -44.6 eV per formula unit
Mass density ... 4.88 Mg/m³
Magnetization ... 0.143 μB per atom